Cs3IrO6: optimized geometry, PBE.

Computed properties:
* DFT total energy: -5.07 eV per atom
* raw formation energy: -0.954 eV per atom
* volume: 221.50 Å³ per cell
* distance to the lowest polymorph of the same formula: 37 meV/atom

The structure in POSCAR format:
```
Cs3IrO6
1.0
0.000 4.980 5.368
4.143 0.000 5.368
4.143 4.980 0.000
Cs Ir O
3 1 6
Direct
0.000 0.000 0.000 Cs
0.250 0.250 0.250 Cs
0.750 0.750 0.750 Cs
0.500 0.500 0.500 Ir
0.218 0.538 0.782 O
0.310 0.690 0.310 O
0.462 0.782 0.538 O
0.538 0.218 0.462 O
0.690 0.310 0.690 O
0.782 0.462 0.218 O
```